[1]
Nb2ZnCr PBE relaxed; ΔE_f = 2.1 kJ/mol of atoms; crystal system = tetragonal
1.0
-0.934 -2.930 -0.724
1.632 -1.128 2.459
-5.062 0.703 3.683
Nb Cr Zn
2 1 1
Direct
0.000 0.000 0.234
0.000 0.000 0.766
0.500 0.500 0.000
0.500 0.500 0.500

***

[2]
CeNd3Th2S6 PBE relaxed; formation energy without anion corrections = -23.53 eV per formula unit; crystal system = monoclinic
1.0
6.991 0.005 0.003
-3.489 6.058 0.003
-1.166 -2.018 6.657
S Nd Th Ce
6 3 2 1
Direct
0.083 0.415 0.248
0.585 0.917 0.752
0.415 0.083 0.248
0.249 0.249 0.751
0.917 0.585 0.752
0.751 0.751 0.249
0.167 0.833 0.500
0.833 0.167 0.500
0.500 0.500 0.500
0.666 0.334 0.000
0.334 0.666 0.000
0.000 0.000 0.000

***

[3]
PmCu2Cl8 PBE relaxed; formation energy without anion corrections = -11.19 eV per formula unit; crystal system = tetragonal
1.0
6.754 0.000 0.000
0.000 6.754 0.000
-3.377 -3.377 5.953
Pm Cu Cl
1 2 8
Direct
0.500 0.500 0.000
0.250 0.750 0.500
0.750 0.250 0.500
0.054 0.547 0.762
0.946 0.786 0.238
0.453 0.946 0.238
0.292 0.453 0.238
0.786 0.292 0.238
0.547 0.708 0.762
0.214 0.054 0.762
0.708 0.214 0.762

***

[4]
SrY3Fe PBE relaxed; ΔE_f = 186.7 kJ/mol of atoms; crystal system = cubic; polymorph energy (0 for the lowest one) = 9.28 eV/f.u.
1.0
-0.760 -4.845 2.439
5.071 -1.509 -1.417
1.926 2.061 4.695
Y Fe Sr
3 1 1
Direct
0.000 0.500 0.000
0.500 0.000 0.000
0.000 0.000 0.500
0.500 0.500 0.500
0.000 0.000 0.000

***

[5]
Mn2SiPt PBE relaxed; formation energy without anion corrections = -0.47 eV per formula unit; crystal system = trigonal
1.0
-5.336 -2.144 5.898
-4.389 -4.642 5.200
-2.999 -3.097 7.019
Si Mn Pt
1 2 1
Direct
0.746 0.746 0.746
0.256 0.256 0.256
0.002 0.002 0.002
0.497 0.497 0.497

***

[6]
KReAs4 PBE relaxed; ΔE_f = 86.0 kJ/mol of atoms; crystal system = cubic
1.0
0.000 4.006 4.006
4.006 0.000 4.006
4.006 4.006 0.000
As K Re
4 1 1
Direct
0.373 0.373 0.373
0.880 0.373 0.373
0.373 0.373 0.880
0.373 0.880 0.373
0.750 0.750 0.750
0.000 0.000 0.000

***

Record order is preserved below.
Density of states at the Fermi level: 1.7; 10.4; 5.1; 11.4; 3.3; 5.4 states/eV/cell
Record order is preserved below.
Total energy: -7.737; -6.947; -3.537; -3.972; -7.568; -4.466 eV per atom
Record order is preserved below.
Size of the total moment: 0.00; 0.70; 0.22; 0.72; 0.73; 3.55 μB per cell